A plane-wave DFT calculation with PBE was carried out for KGaI2O8 after structural relaxation.

Computed properties:
calculated total energy: -0.165 Ha/atom
uncorrected formation energy: -0.59 eV/atom
M_tot: 0.00 Bohr magnetons per cell
N(E_F): 0.1542 states/eV/atom

a b c (Å): 5.7087 6.0901 7.5816
angles (deg): 56.93 67.88 62.05
Atoms (fractional coordinates):
K (0.5000, 0.5000, 0.5000)
O (0.6407, 0.0172, 0.2064)
O (0.6703, 0.5382, 0.1212)
O (0.8643, 0.9828, 0.7936)
I (0.7148, 0.7330, 0.8375)
O (0.1357, 0.0172, 0.2064)
O (0.9051, 0.4058, 0.7839)
O (0.0949, 0.5942, 0.2161)
O (0.3297, 0.4618, 0.8788)
Ga (0.0000, 0.0000, 0.0000)
I (0.2852, 0.2670, 0.1625)
O (0.3593, 0.9828, 0.7936)